(1)
A relaxed structure of Zr2In3Hg, computed with PBE-GGA.

Values from the calculation:
Its total energy is -4.54 eV per atom. Its calculated formation energy is -0.27 eV per atom.

Cell lengths 4.308, 4.520, 7.198 Å; angles 90.00, 107.41, 90.00 degrees
Sites, in units of the cell vectors:
Hg1 0.000 0.000 0.000
Zr1 0.840 0.500 0.681
Zr2 0.160 0.500 0.319
In1 0.326 0.000 0.652
In2 0.674 0.000 0.348
In3 0.500 0.500 0.000


(2)
A relaxed structure of ZrIn3Hg, computed with PBE-GGA.

Values from the calculation:
Its total energy is -2.87 eV per atom. Its calculated formation energy is 0.54 eV per atom. As for the distance to the lowest polymorph of the same formula: 0 meV per atom.

Cell lengths 5.713, 5.713, 5.713 Å; angles 90.00, 90.00, 90.00 degrees
Sites, in units of the cell vectors:
Hg1 0.500 0.500 0.500
In1 0.000 0.500 0.000
In2 0.500 0.000 0.000
In3 0.000 0.000 0.500
Zr1 0.000 0.000 0.000


(3)
A relaxed structure of Zr5InHg4, computed with PBE-GGA.

Values from the calculation:
Its total energy is -4.87 eV per atom. Its calculated formation energy is -0.21 eV per atom.

Cell lengths 3.191, 3.191, 21.289 Å; angles 90.00, 90.00, 90.00 degrees
Sites, in units of the cell vectors:
Zr1 0.500 0.500 0.699
Zr2 0.500 0.500 0.500
Zr3 0.500 0.500 0.101
Zr4 0.500 0.500 0.301
Zr5 0.500 0.500 0.899
Hg1 0.000 0.000 0.798
Hg2 0.000 0.000 0.202
Hg3 0.000 0.000 0.400
Hg4 0.000 0.000 0.600
In1 0.000 0.000 0.000


(4)
A relaxed structure of Zr2InHg, computed with PBE-GGA.

Values from the calculation:
Its total energy is -5.13 eV per atom. Its calculated formation energy is -0.09 eV per atom.

Cell lengths 10.419, 10.419, 10.419 Å; angles 17.70, 17.70, 17.70 degrees
Sites, in units of the cell vectors:
Zr1 0.501 0.501 0.501
Zr2 0.999 0.999 0.999
In1 0.750 0.750 0.750
Hg1 0.250 0.250 0.250


(5)
A relaxed structure of Zr2In2Hg, computed with PBE-GGA.

Values from the calculation:
Its total energy is -4.74 eV per atom. Its calculated formation energy is -0.16 eV per atom. As for the distance to the lowest polymorph of the same formula: 0 meV per atom.

Cell lengths 3.211, 3.135, 11.448 Å; angles 82.13, 90.00, 90.00 degrees
Sites, in units of the cell vectors:
Hg1 0.000 0.000 0.000
In1 0.000 0.809 0.382
In2 0.000 0.191 0.618
Zr1 0.500 0.594 0.812
Zr2 0.500 0.406 0.188


(6)
A relaxed structure of ZrInHg, computed with PBE-GGA.

Values from the calculation:
Its total energy is -3.96 eV per atom. Its calculated formation energy is -0.10 eV per atom. As for the distance to the lowest polymorph of the same formula: 18 meV per atom.

Cell lengths 4.576, 6.869, 13.735 Å; angles 141.39, 90.00, 90.00 degrees
Sites, in units of the cell vectors:
Hg1 0.750 0.090 0.455
Hg2 0.750 0.090 0.955
Hg3 0.250 0.910 0.045
Hg4 0.250 0.910 0.545
In1 0.750 0.417 0.292
In2 0.250 0.583 0.208
In3 0.750 0.417 0.792
In4 0.250 0.583 0.708
Zr1 0.250 0.251 0.875
Zr2 0.250 0.251 0.375
Zr3 0.750 0.749 0.125
Zr4 0.750 0.749 0.625